Record 1
Computed, not measured: a relaxed structure of Y3ThHg4 at the PBE-GGA level of DFT.

Values from the calculation:
energy relative to the elements	-3.32	eV per formula unit
calculated total energy	-3.917	eV per atom
crystal system	tetragonal
N(E_F)	1.03	states/eV/atom

abc: 5.283 7.607 10.563
angles: 90.00 90.00 90.00
Positions (direct):
Hg: 0.500 0.240 0.500
Y: 0.500 0.000 0.250
Y: 0.000 0.000 0.000
Hg: 0.000 0.240 0.250
Y: 0.000 0.000 0.500
Th: 0.000 0.500 0.000
Th: 0.000 0.500 0.500
Hg: 0.500 0.760 0.500
Hg: 0.500 0.240 0.000
Hg: 0.000 0.760 0.250
Hg: 0.000 0.240 0.750
Y: 0.500 0.500 0.750
Y: 0.500 0.500 0.250
Hg: 0.000 0.760 0.750
Y: 0.500 0.000 0.750
Hg: 0.500 0.760 0.000

***

Record 2
Computed, not measured: a relaxed structure of YThHg4 at the PBE-GGA level of DFT.

Values from the calculation:
excess energy over the best structure of this formula in the dataset	12	meV per atom
energy relative to the elements	-1.89	eV per formula unit
calculated total energy	-2.830	eV per atom
crystal system	monoclinic
N(E_F)	0.75	states/eV/atom

abc: 5.019 6.081 6.081
angles: 90.91 65.76 65.76
Positions (direct):
Hg: 0.253 0.414 0.080
Hg: 0.253 0.080 0.414
Th: 0.000 0.000 0.000
Hg: 0.747 0.586 0.920
Hg: 0.747 0.920 0.586
Y: 0.500 0.500 0.500

***

Record 3
Computed, not measured: a relaxed structure of Y5ThHg6 at the PBE-GGA level of DFT.

Values from the calculation:
energy relative to the elements	-5.39	eV per formula unit
calculated total energy	-3.912	eV per atom
crystal system	monoclinic
N(E_F)	0.88	states/eV/atom

abc: 5.263 7.574 9.158
angles: 114.42 106.94 90.00
Positions (direct):
Hg: 0.170 0.910 0.342
Hg: 0.830 0.568 0.659
Hg: 0.170 0.432 0.341
Y: 0.659 0.160 0.319
Y: 0.341 0.840 0.681
Hg: 0.500 0.268 0.000
Y: 0.330 0.329 0.659
Th: 0.000 0.000 0.000
Hg: 0.500 0.732 0.000
Y: 0.670 0.671 0.341
Hg: 0.830 0.090 0.658
Y: 0.000 0.500 0.000

***

Record 4
Computed, not measured: a relaxed structure of YTh4Hg5 at the PBE-GGA level of DFT.

Values from the calculation:
energy relative to the elements	-2.76	eV per formula unit
calculated total energy	-4.041	eV per atom
crystal system	tetragonal
N(E_F)	1.16	states/eV/atom

abc: 3.476 3.476 22.379
angles: 90.00 90.00 90.00
Positions (direct):
Hg: 0.500 0.500 0.092
Hg: 0.500 0.500 0.908
Hg: 0.500 0.500 0.500
Hg: 0.500 0.500 0.297
Th: 0.000 0.000 0.602
Hg: 0.500 0.500 0.703
Y: 0.000 0.000 0.000
Th: 0.000 0.000 0.195
Th: 0.000 0.000 0.805
Th: 0.000 0.000 0.398

***

Record 5
Computed, not measured: a relaxed structure of YThHg3 at the PBE-GGA level of DFT.

Values from the calculation:
energy relative to the elements	-1.66	eV per formula unit
calculated total energy	-3.290	eV per atom
crystal system	orthorhombic
N(E_F)	0.79	states/eV/atom

abc: 3.560 4.966 14.807
angles: 90.00 96.90 90.00
Positions (direct):
Hg: 0.623 0.750 0.246
Y: 0.789 0.250 0.577
Th: 0.076 0.250 0.152
Hg: 0.682 0.250 0.364
Hg: 0.377 0.250 0.754
Hg: 0.476 0.250 0.951
Hg: 0.318 0.750 0.636
Hg: 0.524 0.750 0.049
Th: 0.924 0.750 0.848
Y: 0.211 0.750 0.423

***

Record 6
Computed, not measured: a relaxed structure of YTh2Hg5 at the PBE-GGA level of DFT.

Values from the calculation:
energy relative to the elements	-2.27	eV per formula unit
calculated total energy	-3.136	eV per atom
crystal system	tetragonal
N(E_F)	0.71	states/eV/atom

abc: 5.149 5.149 8.616
angles: 107.39 107.39 90.00
Positions (direct):
Hg: 0.116 0.616 0.233
Hg: 0.384 0.884 0.767
Hg: 0.616 0.116 0.233
Y: 0.000 0.000 0.000
Hg: 0.884 0.384 0.767
Th: 0.261 0.261 0.523
Hg: 0.500 0.500 0.000
Th: 0.739 0.739 0.477

***

Record 7
Computed, not measured: a relaxed structure of YThHg at the PBE-GGA level of DFT.

Values from the calculation:
excess energy over the best structure of this formula in the dataset	0	meV per atom
energy relative to the elements	-0.72	eV per formula unit
calculated total energy	-4.967	eV per atom
crystal system	orthorhombic
N(E_F)	1.08	states/eV/atom

abc: 3.588 5.457 9.005
angles: 90.00 101.49 90.00
Positions (direct):
Hg: 0.564 0.750 0.129
Y: 0.085 0.250 0.170
Th: 0.226 0.750 0.452
Th: 0.774 0.250 0.548
Hg: 0.436 0.250 0.871
Y: 0.915 0.750 0.830

***

Record 8
Computed, not measured: a relaxed structure of Y4ThHg5 at the PBE-GGA level of DFT.

Values from the calculation:
energy relative to the elements	-4.47	eV per formula unit
calculated total energy	-3.926	eV per atom
crystal system	tetragonal
N(E_F)	1.05	states/eV/atom

abc: 3.717 3.717 19.020
angles: 90.00 90.00 90.00
Positions (direct):
Hg: 0.500 0.500 0.110
Y: 0.000 0.000 0.402
Hg: 0.500 0.500 0.890
Hg: 0.500 0.500 0.697
Y: 0.000 0.000 0.598
Hg: 0.500 0.500 0.303
Y: 0.000 0.000 0.795
Hg: 0.500 0.500 0.500
Th: 0.000 0.000 0.000
Y: 0.000 0.000 0.205

***

Record 9
Computed, not measured: a relaxed structure of Y2ThHg5 at the PBE-GGA level of DFT.

Values from the calculation:
energy relative to the elements	-2.95	eV per formula unit
calculated total energy	-3.100	eV per atom
crystal system	tetragonal
N(E_F)	0.56	states/eV/atom

abc: 5.275 5.275 8.231
angles: 108.69 108.69 90.00
Positions (direct):
Hg: 0.127 0.627 0.255
Y: 0.267 0.267 0.533
Hg: 0.627 0.127 0.255
Th: 0.000 0.000 0.000
Y: 0.733 0.733 0.467
Hg: 0.373 0.873 0.745
Hg: 0.873 0.373 0.745
Hg: 0.500 0.500 0.000

***

Record 10
Computed, not measured: a relaxed structure of YTh2Hg4 at the PBE-GGA level of DFT.

Values from the calculation:
energy relative to the elements	-1.37	eV per formula unit
calculated total energy	-3.412	eV per atom
crystal system	tetragonal
N(E_F)	1.12	states/eV/atom

abc: 5.168 5.168 8.350
angles: 108.03 108.03 90.00
Positions (direct):
Hg: 0.609 0.109 0.218
Hg: 0.109 0.609 0.218
Hg: 0.391 0.891 0.782
Th: 0.259 0.259 0.517
Y: 0.000 0.000 0.000
Hg: 0.891 0.391 0.782
Th: 0.741 0.741 0.483

***

Record 11
Computed, not measured: a relaxed structure of YThHg4 at the PBE-GGA level of DFT.

Values from the calculation:
excess energy over the best structure of this formula in the dataset	0	meV per atom
energy relative to the elements	-1.96	eV per formula unit
calculated total energy	-2.842	eV per atom
crystal system	monoclinic
N(E_F)	0.60	states/eV/atom

abc: 3.424 5.015 9.353
angles: 90.00 111.38 90.00
Positions (direct):
Hg: 0.830 0.997 0.827
Hg: 0.336 0.497 0.335
Y: 0.001 0.997 0.498
Th: 0.501 0.497 0.998
Hg: 0.666 0.497 0.661
Hg: 0.174 0.997 0.169

***

Record 12
Computed, not measured: a relaxed structure of YThHg6 at the PBE-GGA level of DFT.

Values from the calculation:
energy relative to the elements	-2.33	eV per formula unit
calculated total energy	-2.253	eV per atom
crystal system	orthorhombic
N(E_F)	0.75	states/eV/atom

abc: 5.001 6.767 6.767
angles: 119.93 90.00 90.00
Positions (direct):
Hg: 0.500 0.913 0.087
Y: 0.500 0.416 0.584
Hg: 0.000 0.585 0.918
Hg: 0.000 0.583 0.417
Hg: 0.500 0.911 0.574
Hg: 0.500 0.426 0.089
Th: 0.000 0.084 0.916
Hg: 0.000 0.082 0.415

***

Record 13
Computed, not measured: a relaxed structure of YThHg4 at the PBE-GGA level of DFT.

Values from the calculation:
excess energy over the best structure of this formula in the dataset	183	meV per atom
energy relative to the elements	-0.86	eV per formula unit
calculated total energy	-2.659	eV per atom
crystal system	cubic
N(E_F)	0.90	states/eV/atom

abc: 5.988 5.988 5.988
angles: 60.00 60.00 60.00
Positions (direct):
Y: 0.250 0.250 0.250
Th: 0.000 0.000 0.000
Hg: 0.625 0.625 0.625
Hg: 0.125 0.625 0.625
Hg: 0.625 0.125 0.625
Hg: 0.625 0.625 0.125

***

Record 14
Computed, not measured: a relaxed structure of Y2ThHg8 at the PBE-GGA level of DFT.

Values from the calculation:
energy relative to the elements	-2.83	eV per formula unit
calculated total energy	-2.327	eV per atom
crystal system	orthorhombic
N(E_F)	0.52	states/eV/atom

abc: 5.114 7.533 8.603
angles: 115.98 107.29 90.00
Positions (direct):
Hg: 0.000 0.294 0.000
Hg: 0.843 0.843 0.685
Hg: 0.650 0.860 0.301
Hg: 0.350 0.559 0.699
Th: 0.500 0.000 0.000
Hg: 0.650 0.441 0.301
Y: 0.807 0.307 0.614
Hg: 0.157 0.157 0.315
Hg: 0.350 0.140 0.699
Hg: 0.000 0.706 0.000
Y: 0.193 0.693 0.386

***

Record 15
Computed, not measured: a relaxed structure of YThHg at the PBE-GGA level of DFT.

Values from the calculation:
excess energy over the best structure of this formula in the dataset	13	meV per atom
energy relative to the elements	-0.68	eV per formula unit
calculated total energy	-4.954	eV per atom
crystal system	tetragonal
N(E_F)	0.76	states/eV/atom

abc: 3.622 3.622 7.135
angles: 104.70 104.70 90.00
Positions (direct):
Y: 0.318 0.318 0.636
Th: 0.006 0.006 0.013
Hg: 0.676 0.676 0.351

***

Record 16
Computed, not measured: a relaxed structure of Y5ThHg4 at the PBE-GGA level of DFT.

Values from the calculation:
energy relative to the elements	-4.09	eV per formula unit
calculated total energy	-4.504	eV per atom
crystal system	tetragonal
N(E_F)	0.88	states/eV/atom

abc: 3.693 3.693 19.793
angles: 90.00 90.00 90.00
Positions (direct):
Y: 0.500 0.500 0.881
Hg: 0.000 0.000 0.595
Y: 0.500 0.500 0.500
Hg: 0.000 0.000 0.214
Th: 0.000 0.000 0.000
Y: 0.500 0.500 0.689
Hg: 0.000 0.000 0.405
Y: 0.500 0.500 0.119
Y: 0.500 0.500 0.311
Hg: 0.000 0.000 0.786

***

Record 17
Computed, not measured: a relaxed structure of YThZnHg at the PBE-GGA level of DFT.

Values from the calculation:
energy relative to the elements	-1.05	eV per formula unit
calculated total energy	-4.127	eV per atom
crystal system	cubic
N(E_F)	1.57	states/eV/atom

abc: 5.266 5.266 5.266
angles: 60.00 60.00 60.00
Positions (direct):
Zn: 0.000 0.000 0.000
Th: 0.750 0.750 0.750
Hg: 0.500 0.500 0.500
Y: 0.250 0.250 0.250

***

Record 18
Computed, not measured: a relaxed structure of ThZnHg at the PBE-GGA level of DFT.

Values from the calculation:
energy relative to the elements	-0.43	eV per formula unit
calculated total energy	-3.143	eV per atom
crystal system	cubic
N(E_F)	0.24	states/eV/atom

abc: 4.772 4.772 4.772
angles: 60.00 60.00 60.00
Positions (direct):
Zn: 0.250 0.250 0.250
Hg: 0.000 0.000 0.000
Th: 0.500 0.500 0.500

***

Record 19
Computed, not measured: a relaxed structure of Th3Zn2Hg3 at the PBE-GGA level of DFT.

Values from the calculation:
energy relative to the elements	-1.74	eV per formula unit
calculated total energy	-3.431	eV per atom
crystal system	orthorhombic
N(E_F)	1.17	states/eV/atom

abc: 4.661 6.017 15.462
angles: 90.00 90.00 112.79
Positions (direct):
Zn: 0.793 0.585 0.606
Hg: 0.623 0.246 0.461
Hg: 0.377 0.754 0.539
Th: 0.354 0.708 0.750
Zn: 0.793 0.585 0.894
Th: 0.915 0.831 0.392
Zn: 0.207 0.415 0.106
Hg: 0.377 0.754 0.961
Hg: 0.623 0.246 0.039
Th: 0.085 0.169 0.608
Hg: 0.358 0.717 0.250
Zn: 0.207 0.415 0.394
Th: 0.646 0.292 0.250
Hg: 0.642 0.283 0.750
Th: 0.085 0.169 0.892
Th: 0.915 0.831 0.108

***

Record 20
Computed, not measured: a relaxed structure of Th3Zn2Hg4 at the PBE-GGA level of DFT.

Values from the calculation:
energy relative to the elements	-2.32	eV per formula unit
calculated total energy	-3.148	eV per atom
crystal system	monoclinic
N(E_F)	0.86	states/eV/atom

abc: 4.919 6.034 9.193
angles: 116.03 90.00 114.05
Positions (direct):
Zn: 0.389 0.779 0.720
Hg: 0.931 0.863 0.606
Hg: 0.294 0.588 0.950
Hg: 0.069 0.137 0.394
Th: 0.000 0.000 0.000
Zn: 0.611 0.221 0.280
Th: 0.664 0.328 0.667
Th: 0.336 0.672 0.333
Hg: 0.706 0.412 0.050